No. 1
Ce2MnF11 | the Alexandria database | GGA+U | optimized geometry; calculated total energy = -6.175 eV per atom; calculated volume = 460.3 Å³ per cell; space-group type = No. 15
1.0
-4.758 5.569 -4.778
-6.983 3.315 2.815
1.370 8.597 0.652
F Ce Mn
22 4 2
direct
0.823 0.533 0.745
0.665 0.336 0.053
0.618 0.299 0.762
0.179 0.201 0.738
0.447 0.836 0.553
0.335 0.664 0.947
0.746 0.737 0.996
0.254 0.263 0.004
0.932 0.949 0.750
0.177 0.467 0.255
0.131 0.551 0.750
0.979 0.763 0.504
0.068 0.051 0.250
0.553 0.164 0.447
0.000 0.000 0.000
0.500 0.500 0.500
0.021 0.237 0.496
0.382 0.701 0.238
0.399 0.033 0.245
0.601 0.967 0.755
0.869 0.449 0.250
0.821 0.799 0.262
0.880 0.224 0.812
0.416 0.276 0.688
0.584 0.724 0.312
0.120 0.776 0.188
0.137 0.250 0.250
0.863 0.750 0.750

No. 2
CeMnF2 | the Alexandria database | GGA+U | optimized geometry; calculated total energy = -5.358 eV per atom; calculated volume = 71.4 Å³ per cell; space-group type = No. 166; density of states at the Fermi level = 6.57 states/eV/cell
1.0
-0.435 2.512 2.602
-3.350 0.963 1.060
-1.175 -3.305 5.545
Ce F Mn
1 2 1
direct
0.000 0.000 0.000
0.127 0.127 0.619
0.873 0.873 0.381
0.500 0.500 0.500

No. 3
CeMnTlF6 | the Alexandria database | GGA+U | optimized geometry; calculated total energy = -6.021 eV per atom; calculated volume = 369.1 Å³ per cell; space-group type = No. 163; density of states at the Fermi level = 1.03 states/eV/cell
1.0
6.072 0.000 0.000
-3.036 5.259 0.000
0.000 0.000 11.559
F Ce Tl Mn
12 2 2 2
direct
0.019 0.384 0.150
0.365 0.981 0.150
0.981 0.616 0.850
0.019 0.635 0.350
0.384 0.365 0.850
0.384 0.019 0.650
0.616 0.981 0.350
0.635 0.019 0.850
0.616 0.635 0.150
0.635 0.616 0.650
0.365 0.384 0.350
0.981 0.365 0.650
0.333 0.667 0.750
0.667 0.333 0.250
0.000 0.000 0.500
0.000 0.000 0.000
0.333 0.667 0.250
0.667 0.333 0.750

no.,total magnetization (μB per cell)
1,8.00
2,1.50
3,12.00